VASP calculation (PBE) on a relaxed structure of BePSe2.

a = 4.8052 Å, b = 4.8052 Å, c = 4.8367 Å
α = 113.91°, β = 113.91°, γ = 89.95°
Element x y z (fractional)
Be1 0.0000 0.0000 0.0000
P1 0.5000 0.5000 0.0000
Se1 0.0000 0.5000 0.0000
Se2 0.5000 0.0000 0.0000

Excess energy over the best structure of this formula in the dataset ... 340 meV per atom
Crystal system ... monoclinic


VASP calculation (PBE) on a relaxed structure of BePSe2.

a = 8.9433 Å, b = 8.9433 Å, c = 8.9433 Å
α = 157.95°, β = 157.95°, γ = 31.38°
Element x y z (fractional)
Be1 0.0000 0.0000 0.0000
P1 0.2500 0.7500 0.5000
Se1 0.5000 0.5000 0.0000
Se2 0.7500 0.2500 0.5000

Excess energy over the best structure of this formula in the dataset ... 364 meV per atom
Crystal system ... tetragonal


VASP calculation (PBE) on a relaxed structure of BeP4Se.

a = 5.4391 Å, b = 5.4391 Å, c = 5.4391 Å
α = 60.00°, β = 60.00°, γ = 60.00°
Element x y z (fractional)
Be1 0.0000 0.0000 0.0000
P1 0.3965 0.3965 0.3965
P2 0.3965 0.3965 0.8106
P3 0.3965 0.8106 0.3965
P4 0.8106 0.3965 0.3965
Se1 0.7500 0.7500 0.7500

Crystal system ... cubic


VASP calculation (PBE) on a relaxed structure of BeSi2PSe.

a = 4.7021 Å, b = 4.7021 Å, c = 4.8873 Å
α = 90.00°, β = 90.00°, γ = 90.00°
Element x y z (fractional)
Be1 0.0000 0.0000 0.0000
Si1 0.0000 0.5000 0.5000
Si2 0.5000 0.0000 0.5000
P1 0.5000 0.5000 0.0000
Se1 0.5000 0.5000 0.5000

Crystal system ... tetragonal


VASP calculation (PBE) on a relaxed structure of Th4BePSe2.

a = 7.1973 Å, b = 4.1701 Å, c = 7.3346 Å
α = 90.00°, β = 109.35°, γ = 90.00°
Element x y z (fractional)
Th1 0.2370 0.0000 0.2248
Th2 0.2545 0.5000 0.7713
Th3 0.7455 0.5000 0.2287
Th4 0.7630 0.0000 0.7752
Be1 0.0000 0.5000 0.0000
P1 0.5000 0.0000 0.0000
Se1 0.0000 0.0000 0.5000
Se2 0.5000 0.5000 0.5000

Crystal system ... monoclinic


VASP calculation (PBE) on a relaxed structure of TiBe2PSe.

a = 3.9924 Å, b = 3.9924 Å, c = 5.4707 Å
α = 90.00°, β = 90.00°, γ = 90.00°
Element x y z (fractional)
Ti1 0.0000 0.0000 0.0000
Be1 0.0000 0.5000 0.5000
Be2 0.5000 0.0000 0.5000
P1 0.5000 0.5000 0.0000
Se1 0.5000 0.5000 0.5000

Crystal system ... tetragonal


VASP calculation (PBE) on a relaxed structure of BeV2PSe.

a = 4.4808 Å, b = 4.4808 Å, c = 4.7705 Å
α = 90.00°, β = 90.00°, γ = 90.00°
Element x y z (fractional)
Be1 0.0000 0.0000 0.0000
V1 0.0000 0.5000 0.5000
V2 0.5000 0.0000 0.5000
P1 0.5000 0.5000 0.0000
Se1 0.5000 0.5000 0.5000

Crystal system ... tetragonal


VASP calculation (PBE) on a relaxed structure of BeP2WSe.

a = 4.7557 Å, b = 4.7557 Å, c = 4.6664 Å
α = 90.00°, β = 90.00°, γ = 90.00°
Element x y z (fractional)
Be1 0.0000 0.0000 0.0000
P1 0.0000 0.5000 0.5000
P2 0.5000 0.0000 0.5000
W1 0.5000 0.5000 0.0000
Se1 0.5000 0.5000 0.5000

Crystal system ... tetragonal


| no. | VASP energy (eV per atom) |
| --- | --- |
| 1 | -3.750 |
| 2 | -3.726 |
| 3 | -3.934 |
| 4 | -3.198 |
| 5 | -6.838 |
| 6 | -4.007 |
| 7 | -4.894 |
| 8 | -4.263 |